# 1
This record from Alexandria via LeMat-Bulk describes a relaxed Nd3Tm7Th crystal. The functional is PBE-GGA.

Cell and atoms, written as POSCAR:
```
Nd3Tm7Th
1.0
6.998 0.000 0.000
-3.499 6.061 0.000
0.000 0.000 8.699
Nd Tm Th
3 7 1
Direct
0.003 0.502 0.000 Nd
0.498 0.502 0.000 Nd
0.498 0.997 0.000 Nd
0.168 0.337 0.658 Tm
0.168 0.832 0.658 Tm
0.334 0.167 0.337 Tm
0.663 0.832 0.658 Tm
0.667 0.333 0.659 Tm
0.833 0.167 0.337 Tm
0.833 0.666 0.337 Tm
0.333 0.667 0.338 Th
```

DOS at the Fermi energy, states/eV/cell: 16.57
Symmetry: P3m1
Magnetization, μB/f.u.: 0.000
Uncorrected energy, Ry/atom: -0.341

=====

# 2
This record from Alexandria via LeMat-Bulk describes a relaxed HoTmLuMg crystal. The functional is PBE-GGA.

Cell and atoms, written as POSCAR:
```
HoTmLuMg
1.0
0.000 3.839 3.839
3.839 0.000 3.839
3.839 3.839 0.000
Ho Tm Lu Mg
1 1 1 1
Direct
0.000 0.000 0.000 Ho
0.250 0.250 0.250 Tm
0.500 0.500 0.500 Lu
0.750 0.750 0.750 Mg
```

DOS at the Fermi energy, states/eV/cell: 4.47
Symmetry: F-43m
Magnetization, μB/f.u.: 0.000
Uncorrected energy, Ry/atom: -0.274

=====

# 3
This record from Alexandria via LeMat-Bulk describes a relaxed LiNd4Y4 crystal. The functional is PBE-GGA.

Cell and atoms, written as POSCAR:
```
LiNd4Y4
1.0
-4.410 4.410 4.046
4.410 -4.410 4.046
4.410 4.410 -4.046
Li Nd Y
1 4 4
Direct
0.000 0.000 0.000 Li
0.000 0.500 0.500 Nd
0.316 0.316 0.000 Nd
0.500 0.000 0.500 Nd
0.684 0.684 0.000 Nd
0.237 0.237 0.474 Y
0.237 0.763 0.000 Y
0.763 0.237 0.000 Y
0.763 0.763 0.526 Y
```

DOS at the Fermi energy, states/eV/cell: 13.23
Symmetry: I4/mmm
Magnetization, μB/f.u.: 0.002
Uncorrected energy, Ry/atom: -0.339

=====

# 4
This record from Alexandria via LeMat-Bulk describes a relaxed Li3AlCu8 crystal. The functional is PBE-GGA.

Cell and atoms, written as POSCAR:
```
Li3AlCu8
1.0
2.440 1.409 7.959
-2.440 1.409 7.959
0.000 -2.817 7.959
Li Al Cu
3 1 8
Direct
0.000 0.000 0.000 Li
0.126 0.126 0.126 Li
0.625 0.625 0.625 Li
0.500 0.500 0.500 Al
0.062 0.062 0.559 Cu
0.062 0.559 0.062 Cu
0.066 0.562 0.562 Cu
0.312 0.312 0.312 Cu
0.559 0.062 0.062 Cu
0.562 0.066 0.562 Cu
0.562 0.562 0.066 Cu
0.812 0.812 0.812 Cu
```

DOS at the Fermi energy, states/eV/cell: 6.40
Symmetry: R3m
Magnetization, μB/f.u.: 0.000
Uncorrected energy, Ry/atom: -0.264

=====

Which of these has the lowest uncorrected energy?
Nd3Tm7Th

=====

Please write out number 3 again, unchanged.
This record from Alexandria via LeMat-Bulk describes a relaxed LiNd4Y4 crystal. The functional is PBE-GGA.

Cell and atoms, written as POSCAR:
```
LiNd4Y4
1.0
-4.410 4.410 4.046
4.410 -4.410 4.046
4.410 4.410 -4.046
Li Nd Y
1 4 4
Direct
0.000 0.000 0.000 Li
0.000 0.500 0.500 Nd
0.316 0.316 0.000 Nd
0.500 0.000 0.500 Nd
0.684 0.684 0.000 Nd
0.237 0.237 0.474 Y
0.237 0.763 0.000 Y
0.763 0.237 0.000 Y
0.763 0.763 0.526 Y
```

DOS at the Fermi energy, states/eV/cell: 13.23
Symmetry: I4/mmm
Magnetization, μB/f.u.: 0.002
Uncorrected energy, Ry/atom: -0.339